Version A
# TbNdDyTh

An optimized crystal structure of TbNdDyTh (GGA-PBE, the Alexandria database).

Values from the calculation:
Space-group type ... F-43m (216)

a b c (Å): 8.072 8.072 8.072
angles (deg): 90.00 90.00 90.00
Fractional coordinates of all 16 atoms:
Tb  0.000  0.000  0.000
Tb  0.000  0.500  0.500
Tb  0.500  0.000  0.500
Tb  0.500  0.500  0.000
Nd  0.250  0.250  0.750
Nd  0.250  0.750  0.250
Nd  0.750  0.250  0.250
Nd  0.750  0.750  0.750
Dy  0.000  0.000  0.500
Dy  0.000  0.500  0.000
Dy  0.500  0.000  0.000
Dy  0.500  0.500  0.500
Th  0.250  0.250  0.250
Th  0.250  0.750  0.750
Th  0.750  0.250  0.750
Th  0.750  0.750  0.250

---

Version B
# TbNdDyTh

An optimized crystal structure of TbNdDyTh (GGA-PBE, the Alexandria database).

Values from the calculation:
Space-group type ... R3m (160)

a b c (Å): 3.606 3.606 34.813
angles (deg): 90.00 90.00 120.00
Fractional coordinates of all 12 atoms:
Tb  0.000  0.000  0.000
Tb  0.333  0.667  0.667
Tb  0.667  0.333  0.333
Nd  0.000  0.000  0.248
Nd  0.333  0.667  0.914
Nd  0.667  0.333  0.581
Dy  0.000  0.000  0.828
Dy  0.333  0.667  0.495
Dy  0.667  0.333  0.161
Th  0.000  0.000  0.414
Th  0.333  0.667  0.081
Th  0.667  0.333  0.747

---

In terms of stability, version B leads; the second structure lies 0.137 eV/atom higher.

---

Version A
# NdDy3Tc

An optimized crystal structure of NdDy3Tc (GGA-PBE, the Alexandria database).

Values from the calculation:
Space-group type ... Pm-3m (221)

a b c (Å): 5.396 5.396 5.396
angles (deg): 90.00 90.00 90.00
Fractional coordinates of all 5 atoms:
Nd  0.000  0.000  0.000
Dy  0.000  0.500  0.500
Dy  0.500  0.000  0.500
Dy  0.500  0.500  0.000
Tc  0.500  0.500  0.500

---

Version B
# NdDy3Tc

An optimized crystal structure of NdDy3Tc (GGA-PBE, the Alexandria database).

Values from the calculation:
Space-group type ... P2_1/m (11)

a b c (Å): 8.689 3.807 8.762
angles (deg): 90.00 101.86 90.00
Fractional coordinates of all 10 atoms:
Nd  0.170  0.250  0.012
Nd  0.830  0.750  0.988
Dy  0.027  0.750  0.664
Dy  0.341  0.750  0.390
Dy  0.423  0.750  0.816
Dy  0.577  0.250  0.184
Dy  0.659  0.250  0.610
Dy  0.973  0.250  0.336
Tc  0.263  0.250  0.599
Tc  0.737  0.750  0.401

---

In terms of stability, version B leads; the second structure lies 0.179 eV/atom higher.

---

Version A
# NdDy2Tc

An optimized crystal structure of NdDy2Tc (GGA-PBE, the Alexandria database).

Values from the calculation:
Space-group type ... P4/mmm (123)

a b c (Å): 3.459 3.459 9.134
angles (deg): 90.00 90.00 90.00
Fractional coordinates of all 4 atoms:
Nd  0.000  0.000  0.000
Dy  0.500  0.500  0.320
Dy  0.500  0.500  0.680
Tc  0.000  0.000  0.500

---

Version B
# NdDy2Tc

An optimized crystal structure of NdDy2Tc (GGA-PBE, the Alexandria database).

Values from the calculation:
Space-group type ... R-3m (166)

a b c (Å): 3.443 3.443 33.144
angles (deg): 90.00 90.00 120.00
Fractional coordinates of all 12 atoms:
Nd  0.000  0.000  0.000
Nd  0.333  0.667  0.667
Nd  0.667  0.333  0.333
Dy  0.000  0.000  0.106
Dy  0.000  0.000  0.894
Dy  0.333  0.667  0.561
Dy  0.333  0.667  0.773
Dy  0.667  0.333  0.227
Dy  0.667  0.333  0.439
Tc  0.000  0.000  0.500
Tc  0.333  0.667  0.167
Tc  0.667  0.333  0.833

---

Version C
# NdDy2Tc

An optimized crystal structure of NdDy2Tc (GGA-PBE, the Alexandria database).

Values from the calculation:
Space-group type ... Pnma (62)

a b c (Å): 7.501 9.225 6.372
angles (deg): 90.00 90.00 90.00
Fractional coordinates of all 16 atoms:
Nd  0.043  0.250  0.126
Nd  0.457  0.750  0.626
Nd  0.543  0.250  0.374
Nd  0.957  0.750  0.874
Dy  0.175  0.065  0.659
Dy  0.175  0.435  0.659
Dy  0.325  0.565  0.159
Dy  0.325  0.935  0.159
Dy  0.675  0.065  0.841
Dy  0.675  0.435  0.841
Dy  0.825  0.565  0.341
Dy  0.825  0.935  0.341
Tc  0.115  0.750  0.455
Tc  0.385  0.250  0.955
Tc  0.615  0.750  0.045
Tc  0.885  0.250  0.545

---

In terms of stability, version C leads; the second structure lies 0.076 eV/atom higher.

---

Version A
# NdDy2Te

An optimized crystal structure of NdDy2Te (GGA-PBE, the Alexandria database).

Values from the calculation:
Space-group type ... R-3m (166)

a b c (Å): 3.836 3.836 32.496
angles (deg): 90.00 90.00 120.00
Fractional coordinates of all 12 atoms:
Nd  0.000  0.000  0.000
Nd  0.333  0.667  0.667
Nd  0.667  0.333  0.333
Dy  0.000  0.000  0.104
Dy  0.000  0.000  0.896
Dy  0.333  0.667  0.563
Dy  0.333  0.667  0.770
Dy  0.667  0.333  0.230
Dy  0.667  0.333  0.437
Te  0.000  0.000  0.500
Te  0.333  0.667  0.167
Te  0.667  0.333  0.833

---

Version B
# NdDy2Te

An optimized crystal structure of NdDy2Te (GGA-PBE, the Alexandria database).

Values from the calculation:
Space-group type ... R3m (160)

a b c (Å): 3.904 3.904 29.761
angles (deg): 90.00 90.00 120.00
Fractional coordinates of all 12 atoms:
Nd  0.000  0.000  0.000
Nd  0.333  0.667  0.667
Nd  0.667  0.333  0.333
Dy  0.000  0.000  0.571
Dy  0.000  0.000  0.763
Dy  0.333  0.667  0.238
Dy  0.333  0.667  0.430
Dy  0.667  0.333  0.096
Dy  0.667  0.333  0.904
Te  0.000  0.000  0.167
Te  0.333  0.667  0.834
Te  0.667  0.333  0.500

---

In terms of stability, version B leads; the second structure lies 0.284 eV/atom higher.

---

Version A
# NdDyTe2

An optimized crystal structure of NdDyTe2 (GGA-PBE, the Alexandria database).

Values from the calculation:
Space-group type ... R3m (160)

a b c (Å): 4.300 4.300 23.071
angles (deg): 90.00 90.00 120.00
Fractional coordinates of all 12 atoms:
Nd  0.000  0.000  0.000
Nd  0.333  0.667  0.667
Nd  0.667  0.333  0.333
Dy  0.000  0.000  0.174
Dy  0.333  0.667  0.841
Dy  0.667  0.333  0.508
Te  0.000  0.000  0.583
Te  0.000  0.000  0.758
Te  0.333  0.667  0.250
Te  0.333  0.667  0.425
Te  0.667  0.333  0.091
Te  0.667  0.333  0.916

---

Version B
# NdDyTe2

An optimized crystal structure of NdDyTe2 (GGA-PBE, the Alexandria database).

Values from the calculation:
Space-group type ... Fm-3m (225)

a b c (Å): 7.659 7.659 7.659
angles (deg): 90.00 90.00 90.00
Fractional coordinates of all 16 atoms:
Nd  0.000  0.000  0.000
Nd  0.000  0.500  0.500
Nd  0.500  0.000  0.500
Nd  0.500  0.500  0.000
Dy  0.000  0.000  0.500
Dy  0.000  0.500  0.000
Dy  0.500  0.000  0.000
Dy  0.500  0.500  0.500
Te  0.250  0.250  0.250
Te  0.250  0.250  0.750
Te  0.250  0.750  0.250
Te  0.250  0.750  0.750
Te  0.750  0.250  0.250
Te  0.750  0.250  0.750
Te  0.750  0.750  0.250
Te  0.750  0.750  0.750

---

Version C
# NdDyTe2

An optimized crystal structure of NdDyTe2 (GGA-PBE, the Alexandria database).

Values from the calculation:
Space-group type ... C2/m (12)

a b c (Å): 7.613 4.409 7.742
angles (deg): 90.00 109.29 90.00
Fractional coordinates of all 8 atoms:
Nd  0.000  0.000  0.000
Nd  0.500  0.500  0.000
Dy  0.000  0.500  0.500
Dy  0.500  0.000  0.500
Te  0.246  0.000  0.738
Te  0.254  0.500  0.262
Te  0.746  0.500  0.738
Te  0.754  0.000  0.262

---

Version D
# NdDyTe2

An optimized crystal structure of NdDyTe2 (GGA-PBE, the Alexandria database).

Values from the calculation:
Space-group type ... P4/mmm (123)

a b c (Å): 5.415 5.415 3.831
angles (deg): 90.00 90.00 90.00
Fractional coordinates of all 4 atoms:
Nd  0.000  0.000  0.000
Dy  0.500  0.500  0.000
Te  0.000  0.500  0.500
Te  0.500  0.000  0.500

---

In terms of stability, version A leads; the second structure lies 0.026 eV/atom higher.